1.
Tb2Pm2Ru | PBE | relaxed

Calculated values
Total energy = -57.52 eV per cell
Formation energy from the elements = -145 meV per atom
Density of states at the Fermi level = 1.0641 states/eV per atom
Calculated volume = 301 Å³ per cell

Cell and atoms, written as POSCAR:
```
Tb2Pm2Ru
1.0
-5.752 -3.393 3.414
0.793 -3.439 6.158
-4.795 3.580 5.354
Pm Tb Ru
4 4 2
Cartesian
-6.524 -0.786 8.722
-6.490 -3.980 7.444
-3.230 -2.466 6.203
-3.264 0.728 7.482
-6.352 2.018 6.027
-6.673 -1.416 4.947
-4.195 -1.832 2.741
-3.874 1.603 3.821
-4.837 -3.828 4.524
-0.122 -3.005 5.048
```



2.
Ca3IrBr | PBE | relaxed

Calculated values
Distance to the lowest polymorph of the same formula = 0 meV per atom
Total energy = -19.11 eV per cell
Density of states at the Fermi level = 0.8134 states/eV per atom
Raw formation energy = -0.51 eV/atom
Calculated volume = 169 Å³ per cell

Cell and atoms, written as POSCAR:
```
Ca3IrBr
1.0
-3.705 -0.961 3.988
-0.589 -5.194 -1.798
4.060 -1.630 3.379
Ir Ca Br
1 3 1
Cartesian
0.000 0.000 0.000
-1.853 -0.480 1.994
2.030 -0.815 1.689
-0.294 -2.597 -0.899
-0.117 -3.892 2.785
```



3.
Ce5ThSn2 | PBE | relaxed

Calculated values
Total energy = -47.03 eV per cell
Formation energy from the elements = -242 meV per atom
Density of states at the Fermi level = 2.6608 states/eV per atom
Calculated volume = 226 Å³ per cell

Cell and atoms, written as POSCAR:
```
Ce5ThSn2
1.0
-0.941 1.557 2.886
-1.986 -6.491 4.872
6.926 -0.651 4.627
Ce Sn Th
5 2 1
Cartesian
3.099 -0.339 5.227
-0.724 -2.844 5.332
0.900 -5.246 7.158
2.470 -3.571 4.750
4.723 -2.741 7.053
3.113 -4.357 9.417
0.886 -1.228 2.969
0.000 0.000 0.000
```



4.
Nd2Sm2Y | PBE | relaxed

Calculated values
Distance to the lowest polymorph of the same formula = 168 meV per atom
Total energy = -48.52 eV per cell
Formation energy from the elements = 235 meV per atom
Density of states at the Fermi level = 1.1491 states/eV per atom
Calculated volume = 356 Å³ per cell

Cell and atoms, written as POSCAR:
```
Nd2Sm2Y
1.0
-5.753 6.823 2.796
-7.251 -5.427 -2.335
4.944 -2.104 3.581
Y Sm Nd
2 4 4
Cartesian
-2.142 4.452 5.150
-5.918 -5.160 -1.107
-3.799 1.036 0.712
-4.261 -1.744 3.330
-6.554 0.770 2.152
-1.506 -1.477 1.890
-4.812 3.883 2.680
-3.248 -4.591 1.362
-5.540 -2.070 0.187
-2.520 1.363 3.856
```



5.
SrCeZnIr | PBE | relaxed

Calculated values
Total energy = -18.69 eV per cell
Formation energy from the elements = -235 meV per atom
Density of states at the Fermi level = 1.6132 states/eV per atom
Calculated volume = 94 Å³ per cell

Cell and atoms, written as POSCAR:
```
SrCeZnIr
1.0
-0.020 1.597 -4.846
-0.652 -3.354 -3.789
-4.346 -0.016 -2.673
Zn Sr Ce Ir
1 1 1 1
Cartesian
0.000 0.000 0.000
-3.763 -1.330 -8.481
-1.254 -0.443 -2.827
-2.509 -0.886 -5.654
```



6.
ReNi2Pt | PBE | relaxed

Calculated values
Distance to the lowest polymorph of the same formula = 187 meV per atom
Total energy = -29.63 eV per cell
Formation energy from the elements = 104 meV per atom
Density of states at the Fermi level = 1.1859 states/eV per atom
Calculated volume = 54 Å³ per cell

Cell and atoms, written as POSCAR:
```
ReNi2Pt
1.0
4.327 0.000 0.000
0.000 2.613 0.231
0.000 -0.599 4.727
Ni Pt Re
2 1 1
Cartesian
0.000 0.512 1.148
0.000 1.502 3.810
2.164 -0.300 2.364
2.164 1.306 0.115
```



7.
Th2Cd15In2 | PBE | relaxed

Calculated values
Total energy = -35.16 eV per cell
Formation energy from the elements = -59 meV per atom
Density of states at the Fermi level = 0.4062 states/eV per atom
Calculated volume = 446 Å³ per cell

Cell and atoms, written as POSCAR:
```
Th2Cd15In2
1.0
-0.684 7.076 -2.910
-7.673 -0.023 -0.363
-1.129 3.527 6.730
Cd In Th
15 2 2
Cartesian
-3.171 2.419 4.517
-0.565 1.763 3.365
-5.631 1.085 1.850
-2.469 6.828 2.400
-3.910 5.438 4.425
-5.576 5.142 -0.968
-0.990 4.634 3.722
-5.787 3.457 3.609
-3.836 -0.011 -0.181
-7.017 3.752 1.057
-0.342 3.538 -1.455
-5.492 2.192 -1.158
-0.823 5.969 0.097
-3.699 7.123 -0.152
-2.864 4.861 -2.116
-8.519 9.502 3.104
-0.967 1.078 0.352
-3.157 3.522 1.151
-6.328 7.058 2.306
```



8.
Er2Th3C4 | PBE | relaxed

Calculated values
Total energy = -70.71 eV per cell
Formation energy from the elements = -270 meV per atom
Density of states at the Fermi level = 0.4985 states/eV per atom
Calculated volume = 179 Å³ per cell

Cell and atoms, written as POSCAR:
```
Er2Th3C4
1.0
3.680 0.000 0.003
-1.840 3.187 -0.003
-0.003 0.002 15.249
C Th Er
4 3 2
Cartesian
1.838 1.063 1.578
-0.002 2.125 13.670
-1.838 3.186 10.612
3.675 0.003 4.637
1.834 1.066 5.812
0.003 2.123 9.437
0.000 0.000 0.000
-0.003 2.126 2.908
1.840 1.062 12.340
```